MgCrSe (PBE-GGA, relaxed); density of states at the Fermi level = 0.90 states/eV per atom; formation energy (no corrections) = 0.011 eV/atom
1.0
4.229 0.000 0.000
-2.115 3.663 0.000
0.000 0.000 3.971
Mg Se Cr
1 1 1
direct
0.333 0.667 0.333
0.667 0.333 0.835
0.000 0.000 0.832


Dy2TmRh3 (PBE-GGA, relaxed); density of states at the Fermi level = 0.57 states/eV per atom; ΔE_f = -5.431 eV per formula unit
1.0
3.411 0.000 0.000
0.000 3.411 0.000
0.000 0.000 10.221
Tm Rh Dy
1 3 2
direct
0.500 0.500 0.500
0.000 0.000 0.000
0.000 0.000 0.337
0.000 0.000 0.663
0.500 0.500 0.168
0.500 0.500 0.832


CdHg2Os (PBE-GGA, relaxed); density of states at the Fermi level = 0.80 states/eV per atom; ΔE_f = 2.968 eV per formula unit
1.0
5.341 0.141 0.000
1.970 4.966 0.000
-3.656 -2.553 2.943
Hg Cd Os
2 1 1
direct
0.000 0.000 0.000
0.500 0.500 0.000
0.750 0.250 0.500
0.250 0.750 0.500